(1)
LaZrCd2B: optimized geometry, PBE.

Summary:
- Energy above the lowest structure with this stoichiometry: 1.5743 eV per atom
- Electronic total energy: -2.37 eV/atom
- Density: 4148 kg/m3
- Calculated formation energy: 2.0238 eV per atom

Unit cell a=5.920 b=5.320 c=5.920 alpha=90.00 beta=90.00 gamma=90.00
Atoms (fractional coordinates):
Zr1 0.000 0.500 0.000
La1 0.000 0.000 0.000
Cd1 0.500 0.000 0.000
Cd2 0.000 0.000 0.500
B1 0.500 0.500 0.500

(2)
Cs2DyZn2Te4: optimized geometry, PBE.

Summary:
- ΔE_f (raw): -0.88 eV per atom
- Electronic total energy: -3.26 eV/atom
- Density: 5359 kg/m3

Unit cell a=4.807 b=8.757 c=8.639 alpha=107.65 beta=106.16 gamma=90.00
Atoms (fractional coordinates):
Te1 0.198 0.155 0.396
Zn1 0.327 0.003 0.655
Te2 0.802 0.845 0.604
Te3 0.487 0.226 0.973
Zn2 0.673 0.997 0.345
Cs1 0.134 0.567 0.268
Cs2 0.866 0.433 0.732
Te4 0.513 0.774 0.027
Dy1 0.000 0.000 0.000

(3)
Na3YV: optimized geometry, PBE.

Summary:
- Energy above the lowest structure with this stoichiometry: 0.0000 eV per atom
- Electronic total energy: -2.82 eV/atom
- Density: 2070 kg/m3
- Calculated formation energy: 1.0850 eV per atom

Unit cell a=5.513 b=5.513 c=5.513 alpha=90.00 beta=90.00 gamma=90.00
Each line ends with the local moment (μB).
Atoms (fractional coordinates):
V1 0.000 0.000 0.000  3.30
Na1 0.500 0.000 0.000  0.03
Na2 0.000 0.000 0.500  0.03
Y1 0.500 0.500 0.500  -0.13
Na3 0.000 0.500 0.000  0.03

(4)
CaNdGeAu: optimized geometry, PBE.

Summary:
- Electronic total energy: -4.42 eV/atom
- Density: 7590 kg/m3
- Calculated formation energy: -0.7559 eV per atom

Unit cell a=5.198 b=5.198 c=5.198 alpha=60.00 beta=60.00 gamma=60.00
Atoms (fractional coordinates):
Au1 0.750 0.750 0.750
Nd1 0.000 0.000 0.000
Ca1 0.500 0.500 0.500
Ge1 0.250 0.250 0.250

(5)
CsH4N4: optimized geometry, PBE.

Summary:
- Electronic total energy: -5.19 eV/atom
- Density: 2043 kg/m3

Unit cell a=3.825 b=9.055 c=9.055 alpha=90.00 beta=90.00 gamma=90.00
Each line ends with the local moment (μB).
Atoms (fractional coordinates):
H1 0.332 0.375 0.171  0.00
Cs1 0.500 0.500 0.500  0.00
N1 0.735 0.180 0.736  0.15
H2 0.332 0.625 0.829  0.00
H3 0.832 0.329 0.875  0.00
Cs2 0.000 0.000 0.000  0.00
N2 0.235 0.236 0.320  0.15
N3 0.765 0.320 0.764  0.15
H4 0.668 0.171 0.625  0.00
H5 0.168 0.875 0.671  0.00
N4 0.265 0.736 0.820  0.15
N5 0.235 0.764 0.680  0.15
H6 0.832 0.671 0.125  0.00
H7 0.168 0.125 0.329  0.00
N6 0.735 0.820 0.264  0.15
N7 0.765 0.680 0.236  0.15
H8 0.668 0.829 0.375  0.00
N8 0.265 0.264 0.180  0.15

(6)
Ac2Pm3Cd3: optimized geometry, PBE.

Summary:
- Electronic total energy: -3.32 eV/atom
- Density: 7822 kg/m3
- Calculated formation energy: -0.1700 eV per atom

Unit cell a=3.975 b=5.601 c=12.185 alpha=103.29 beta=99.39 gamma=90.00
Atoms (fractional coordinates):
Pm1 0.384 0.384 0.768
Ac1 0.728 0.228 0.455
Pm2 0.500 0.000 0.000
Cd1 0.891 0.891 0.783
Pm3 0.616 0.616 0.232
Cd2 0.000 0.500 0.000
Cd3 0.109 0.109 0.217
Ac2 0.272 0.772 0.545

(7)
CePmH2: optimized geometry, PBE.

Summary:
- Energy above the lowest structure with this stoichiometry: 0.0000 eV per atom
- Electronic total energy: -4.72 eV/atom
- Density: 7355 kg/m3

Unit cell a=3.557 b=3.557 c=6.263 alpha=73.50 beta=73.50 gamma=60.00
Each line ends with the local moment (μB).
Atoms (fractional coordinates):
H1 0.250 0.250 0.249  0.00
Ce1 0.500 0.500 0.500  0.70
Pm1 0.000 0.000 0.000  0.03
H2 0.750 0.750 0.751  0.00

(8)
SrPr2Tl: optimized geometry, PBE.

Summary:
- Energy above the lowest structure with this stoichiometry: 0.0858 eV per atom
- Electronic total energy: -3.43 eV/atom
- Density: 6995 kg/m3
- Calculated formation energy: -0.0259 eV per atom

Unit cell a=5.775 b=5.775 c=5.775 alpha=60.00 beta=60.00 gamma=60.00
Atoms (fractional coordinates):
Pr1 0.750 0.750 0.750
Pr2 0.250 0.250 0.250
Tl1 0.500 0.500 0.500
Sr1 0.000 0.000 0.000